This record from Alexandria describes crystalline Rb3UAg2Br9 at its relaxed geometry. The functional is PBE.

Cell and atoms, written as extended XYZ:
```
15
Lattice="8.025 0.000 0.000 -4.012 6.950 0.000 0.000 0.000 9.990" Properties=species:S:1:pos:R:3 pbc="T T T"
Rb 0.000 0.000 0.000
Rb 0.000 4.633 7.351
Rb 4.012 2.317 2.639
U 0.000 0.000 4.995
Ag 0.000 4.633 1.479
Ag 4.012 2.317 8.511
Br -2.006 3.475 0.000
Br 0.000 2.269 3.374
Br -2.047 5.815 3.374
Br 1.965 1.134 6.616
Br 4.012 0.000 0.000
Br 2.006 3.475 0.000
Br 2.047 5.815 3.374
Br 6.060 1.134 6.616
Br 4.012 4.681 6.616
```

ΔE_f (raw)	-1.219	eV per atom
raw total energy	-53.239	eV/cell
volume	557	Å³/cell



This record from Alexandria describes crystalline LiDyCd2 at its relaxed geometry. The functional is PBE.

Cell and atoms, written as extended XYZ:
```
4
Lattice="0.000 3.569 3.569 3.569 0.000 3.569 3.569 3.569 0.000" Properties=species:S:1:pos:R:3 pbc="T T T"
Li 0.000 0.000 0.000
Dy 3.569 3.569 3.569
Cd 1.785 1.785 1.785
Cd 5.354 5.354 5.354
```

raw total energy	-9.396	eV/cell
energy relative to the elements	-0.26	eV per atom
volume	91	Å³/cell
relative energy among the computed polymorphs	1	meV per atom



This record from Alexandria describes crystalline SiAg2Cl at its relaxed geometry. The functional is PBE.

Cell and atoms, written as extended XYZ:
```
4
Lattice="2.926 -1.696 0.000 2.926 1.696 0.000 -1.933 0.000 7.632" Properties=species:S:1:pos:R:3 pbc="T T T"
Si 0.000 0.000 0.000
Ag 0.019 0.000 5.860
Ag 3.901 0.000 1.772
Cl 1.960 0.000 3.816
```

ΔE_f (raw)	0.019	eV per atom
raw total energy	-12.897	eV/cell
volume	76	Å³/cell
relative energy among the computed polymorphs	0	meV per atom



This record from Alexandria describes crystalline MgSnF2 at its relaxed geometry. The functional is PBE.

Cell and atoms, written as extended XYZ:
```
4
Lattice="1.568 0.905 9.416 -1.568 0.905 9.416 0.000 -1.811 9.416" Properties=species:S:1:pos:R:3 pbc="T T T"
Mg 0.000 0.000 0.000
Sn 0.000 0.000 14.124
F 0.000 0.000 10.348
F 0.000 0.000 17.900
```

ΔE_f (raw)	-2.450	eV per atom
raw total energy	-19.141	eV/cell
volume	80	Å³/cell
relative energy among the computed polymorphs	0	meV per atom